Entry 1:
A relaxed structure of PrNd4Sn, computed with PBE.

For the density of states at the Fermi level, the calculation gives 32.7 states/eV/cell. Its energy of formation is 0.2 eV per formula unit.

It has space group Cmcm (No. 63), with a = 5.336 Å, b = 24.706 Å, c = 6.715 Å, α = 90.00°, β = 90.00° and γ = 90.00°. The asymmetric unit holds Pr at (0.000, 0.054, 0.250), Nd at (0.000, 0.086, 0.750), Nd at (0.000, 0.206, 0.504), Nd at (0.000, 0.358, 0.750) and Sn at (0.000, 0.333, 0.250).

***

Entry 2:
A relaxed structure of TbPrNdSn, computed with PBE.

For the density of states at the Fermi level, the calculation gives 28.3 states/eV/cell. Its energy of formation is -1.0 eV per formula unit.

It has space group F-43m (No. 216), with a = 7.858 Å, b = 7.858 Å, c = 7.858 Å, α = 90.00°, β = 90.00° and γ = 90.00°. The asymmetric unit holds Tb at (0.000, 0.000, 0.000), Pr at (0.250, 0.250, 0.250), Nd at (0.250, 0.250, 0.750) and Sn at (0.000, 0.000, 0.500).

***

Entry 3:
A relaxed structure of PrNdSnTe, computed with PBE.

For the density of states at the Fermi level, the calculation gives 4.4 states/eV/cell. The total energy comes out at -5.297 eV/atom.

It has space group R3m (No. 160, hexagonal axes), with a = 4.5349 Å, b = 4.5349 Å, c = 22.3945 Å, α = 90.00°, β = 90.00° and γ = 120.00°. The asymmetric unit holds Pr at (0.0000, 0.0000, 0.0000), Nd at (0.0000, 0.0000, 0.5059), Sn at (0.0000, 0.0000, 0.2524) and Te at (0.0000, 0.0000, 0.7537).

***

- Number 1 is which compound?
  PrNd4Sn